Entry 1:
# RbSnAuO3 (PBE, optimized geometry)
# * final energy: -121.3 eV per cell
# * volume: 17.82 A^3/atom
data_RbSnAuO3
_space_group_name_H-M_alt 'P 1'
_space_group_IT_number 1
_cell_length_a 10.624
_cell_length_b 3.241
_cell_length_c 12.423
_cell_angle_alpha 90.00
_cell_angle_beta 90.00
_cell_angle_gamma 90.00
loop_
_space_group_symop_operation_xyz
'x,y,z'
loop_
_atom_site_label
_atom_site_fract_x
_atom_site_fract_y
_atom_site_fract_z
Au1 0.587 0.500 0.027
Au2 0.087 0.000 0.473
Au3 0.913 0.500 0.527
Au4 0.413 0.000 0.973
O1 0.712 0.000 0.068
O2 0.939 0.500 0.074
O3 0.183 0.000 0.126
O4 0.683 0.500 0.374
O5 0.439 0.000 0.426
O6 0.212 0.500 0.432
O7 0.788 0.000 0.568
O8 0.561 0.500 0.574
O9 0.317 0.000 0.626
O10 0.817 0.500 0.874
O11 0.061 0.000 0.926
O12 0.288 0.500 0.932
Rb1 0.361 0.500 0.244
Rb2 0.861 0.000 0.256
Rb3 0.139 0.500 0.744
Rb4 0.639 0.000 0.756
Sn1 0.130 0.500 0.031
Sn2 0.630 0.000 0.469
Sn3 0.370 0.500 0.531
Sn4 0.870 0.000 0.969

Entry 2:
# RbTaAuO3 (PBE, optimized geometry)
# * final energy: -169.5 eV per cell
# * volume: 17.69 A^3/atom
data_RbTaAuO3
_space_group_name_H-M_alt 'P 1'
_space_group_IT_number 1
_cell_length_a 3.130
_cell_length_b 10.932
_cell_length_c 12.407
_cell_angle_alpha 90.00
_cell_angle_beta 90.00
_cell_angle_gamma 90.00
loop_
_space_group_symop_operation_xyz
'x,y,z'
loop_
_atom_site_label
_atom_site_fract_x
_atom_site_fract_y
_atom_site_fract_z
Au1 0.250 0.594 0.028
Au2 0.750 0.094 0.472
Au3 0.250 0.906 0.528
Au4 0.750 0.406 0.972
O1 0.250 0.801 0.050
O2 0.750 0.020 0.085
O3 0.250 0.222 0.159
O4 0.750 0.722 0.341
O5 0.250 0.520 0.415
O6 0.750 0.301 0.450
O7 0.250 0.699 0.550
O8 0.750 0.480 0.585
O9 0.250 0.278 0.659
O10 0.750 0.778 0.841
O11 0.250 0.980 0.915
O12 0.750 0.199 0.950
Rb1 0.750 0.409 0.239
Rb2 0.250 0.909 0.261
Rb3 0.750 0.091 0.739
Rb4 0.250 0.591 0.761
Ta1 0.250 0.134 0.036
Ta2 0.750 0.634 0.464
Ta3 0.250 0.366 0.536
Ta4 0.750 0.866 0.964

Entry 3:
# RbTb2AuO4 (PBE, optimized geometry)
# * final energy: -52.0 eV per cell
# * volume: 18.21 A^3/atom
data_RbTb2AuO4
_space_group_name_H-M_alt 'P 1'
_space_group_IT_number 1
_cell_length_a 3.544
_cell_length_b 3.544
_cell_length_c 13.391
_cell_angle_alpha 90.00
_cell_angle_beta 90.00
_cell_angle_gamma 120.00
loop_
_space_group_symop_operation_xyz
'x,y,z'
loop_
_atom_site_label
_atom_site_fract_x
_atom_site_fract_y
_atom_site_fract_z
Au1 0.000 0.000 0.000
O1 0.000 0.000 0.152
O2 0.333 0.667 0.310
O3 0.333 0.667 0.690
O4 0.000 0.000 0.848
Rb1 0.333 0.667 0.500
Tb1 0.667 0.333 0.227
Tb2 0.667 0.333 0.773

Entry 4:
# RbTbAu3O4 (PBE, optimized geometry)
# * final energy: -41.0 eV per cell
# * volume: 21.11 A^3/atom
data_RbTbAu3O4
_space_group_name_H-M_alt 'P 1'
_space_group_IT_number 1
_cell_length_a 5.749
_cell_length_b 5.749
_cell_length_c 5.749
_cell_angle_alpha 90.00
_cell_angle_beta 90.00
_cell_angle_gamma 90.00
loop_
_space_group_symop_operation_xyz
'x,y,z'
loop_
_atom_site_label
_atom_site_fract_x
_atom_site_fract_y
_atom_site_fract_z
Au1 0.500 0.500 0.000
Au2 0.500 0.000 0.500
Au3 0.000 0.500 0.500
O1 0.282 0.282 0.282
O2 0.718 0.718 0.282
O3 0.718 0.282 0.718
O4 0.282 0.718 0.718
Rb1 0.000 0.000 0.000
Tb1 0.500 0.500 0.500

Entry 5:
# RbTeAuO (PBE, optimized geometry)
# * E above lowest polymorph: 734.4 meV per atom
# * final energy: -22.1 eV per cell
# * volume: 27.47 A^3/atom
data_RbTeAuO
_space_group_name_H-M_alt 'P 1'
_space_group_IT_number 1
_cell_length_a 4.676
_cell_length_b 4.676
_cell_length_c 10.051
_cell_angle_alpha 90.00
_cell_angle_beta 90.00
_cell_angle_gamma 90.00
loop_
_space_group_symop_operation_xyz
'x,y,z'
loop_
_atom_site_label
_atom_site_fract_x
_atom_site_fract_y
_atom_site_fract_z
Au1 0.250 0.250 0.008
Au2 0.750 0.750 0.992
O1 0.750 0.250 0.000
O2 0.250 0.750 0.000
Rb1 0.750 0.250 0.500
Rb2 0.250 0.750 0.500
Te1 0.750 0.750 0.257
Te2 0.250 0.250 0.743

Entry 6:
# RbTeAuO (PBE, optimized geometry)
# * E above lowest polymorph: 0.0 meV per atom
# * final energy: -27.9 eV per cell
# * volume: 31.15 A^3/atom
data_RbTeAuO
_space_group_name_H-M_alt 'P 1'
_space_group_IT_number 1
_cell_length_a 5.000
_cell_length_b 7.305
_cell_length_c 6.823
_cell_angle_alpha 90.00
_cell_angle_beta 90.00
_cell_angle_gamma 90.00
loop_
_space_group_symop_operation_xyz
'x,y,z'
loop_
_atom_site_label
_atom_site_fract_x
_atom_site_fract_y
_atom_site_fract_z
Au1 0.500 0.966 0.018
Au2 0.500 0.034 0.518
O1 0.500 0.152 0.246
O2 0.500 0.848 0.746
Rb1 0.000 0.325 0.123
Rb2 0.000 0.675 0.623
Te1 0.000 0.839 0.104
Te2 0.000 0.161 0.604